Material: KSm2F7
Method: DFT, GGA-PBE
State: optimized geometry

Values from the calculation:
Magnetization = 0.6 μB per cell
Uncorrected formation energy = -3856 meV per atom
DOS(E_F) = 0.00 states/eV/cell

a = 4.0970 Å, b = 4.0970 Å, c = 34.8467 Å
α = 90.00°, β = 90.00°, γ = 120.00°
Space group R-3m (No. 166, hexagonal axes)
One atom of each set of equivalent atoms:
K 0.0000 0.0000 0.0000 (multiplicity 3)
Sm 0.0000 0.0000 0.4350 (multiplicity 6)
F 0.0000 0.0000 0.0875 (multiplicity 6)
F 0.0000 0.0000 0.2193 (multiplicity 6)
F 0.0000 0.0000 0.3712 (multiplicity 6)
F 0.0000 0.0000 0.5000 (multiplicity 3)

=====

Material: Na2SnSb
Method: DFT, GGA-PBE
State: optimized geometry

Values from the calculation:
Magnetization = 0.0 μB per cell
Uncorrected formation energy = -155 meV per atom
DOS(E_F) = 2.10 states/eV/cell

a = 3.783 Å, b = 3.783 Å, c = 7.442 Å
α = 90.00°, β = 90.00°, γ = 90.00°
Space group P4/mmm (No. 123)
One atom of each set of equivalent atoms:
Na 0.000 0.000 0.245 (multiplicity 2)
Sn 0.500 0.500 0.500 (multiplicity 1)
Sb 0.500 0.500 0.000 (multiplicity 1)

=====

Material: ErTmZnCr
Method: DFT, GGA-PBE
State: optimized geometry

Values from the calculation:
Magnetization = 13.9 μB per cell
DFT formation energy = -0.0028 eV per atom
DOS(E_F) = 6.18 states/eV/cell

a = 7.051 Å, b = 7.051 Å, c = 7.051 Å
α = 90.00°, β = 90.00°, γ = 90.00°
Space group F-43m (No. 216)
One atom of each set of equivalent atoms:
Er 0.000 0.000 0.000 (multiplicity 4)
Tm 0.000 0.000 0.500 (multiplicity 4)
Zn 0.250 0.250 0.250 (multiplicity 4)
Cr 0.250 0.250 0.750 (multiplicity 4)